A relaxed KBe3Os crystal. Source: Alexandria via LeMat-Bulk, functional GGA-PBE.

Values from the calculation:
energy relative to the elements = 2.8162 eV/atom
VASP energy = -1.88 eV per atom
excess energy over the best structure of this formula in the dataset = 51.57 kcal/mol of atoms
spin magnetization = 0.93 μB/f.u.
calculated volume = 14.1 Å³/atom

Unit cell a=4.1312 b=4.1312 c=4.1312 alpha=90.00 beta=90.00 gamma=90.00
Space group Pm-3m (No. 221)
One atom of each set of equivalent atoms:
K: 0.0000 0.0000 0.0000 x1
Be: 0.0000 0.0000 0.5000 x3
Os: 0.5000 0.5000 0.5000 x1


A relaxed ZnAg2Au crystal. Source: Alexandria via LeMat-Bulk, functional GGA-PBE.

Values from the calculation:
energy relative to the elements = 0.1144 eV/atom
VASP energy = -2.45 eV per atom
spin magnetization = 0.00 μB/f.u.
calculated volume = 18.6 Å³/atom

Unit cell a=7.3983 b=7.3983 c=5.4253 alpha=90.00 beta=90.00 gamma=90.00
Space group I-42d (No. 122)
One atom of each set of equivalent atoms:
Zn: 0.0000 0.0000 0.0000 x4
Ag: 0.2316 0.2500 0.1250 x8
Au: 0.0000 0.0000 0.5000 x4


A relaxed Tl2HgW2 crystal. Source: Alexandria via LeMat-Bulk, functional GGA-PBE.

Values from the calculation:
energy relative to the elements = 0.9343 eV/atom
VASP energy = -5.25 eV per atom
excess energy over the best structure of this formula in the dataset = 0.00 kcal/mol of atoms
spin magnetization = 0.00 μB/f.u.
calculated volume = 21.5 Å³/atom

Unit cell a=7.1318 b=7.1318 c=4.2339 alpha=90.00 beta=90.00 gamma=90.00
Space group P4/mbm (No. 127)
One atom of each set of equivalent atoms:
Tl: 0.1754 0.3246 0.0000 x4
Hg: 0.0000 0.0000 0.5000 x2
W: 0.1214 0.6214 0.5000 x4


A relaxed Pr4TlPI2 crystal. Source: Alexandria via LeMat-Bulk, functional GGA-PBE.

Values from the calculation:
VASP energy = -4.73 eV per atom
spin magnetization = 0.00 μB/f.u.
E_form (uncorrected) = -977 meV per atom
calculated volume = 32.7 Å³/atom

Unit cell a=7.8389 b=4.2398 c=8.2461 alpha=90.00 beta=107.07 gamma=90.00
Space group P2/m (No. 10)
One atom of each set of equivalent atoms:
Pr: 0.2113 0.0000 0.1973 x2
Pr: 0.2324 0.5000 0.7869 x2
Tl: 0.5000 0.0000 0.0000 x1
P: 0.0000 0.5000 0.0000 x1
I: 0.0000 0.0000 0.5000 x1
I: 0.5000 0.5000 0.5000 x1


A relaxed La3DyEr2Tm6 crystal. Source: Alexandria via LeMat-Bulk, functional GGA-PBE.

Values from the calculation:
energy relative to the elements = 0.0286 eV/atom
VASP energy = -4.58 eV per atom
spin magnetization = 0.00 μB/f.u.
calculated volume = 31.8 Å³/atom

Unit cell a=6.1776 b=10.6971 c=11.7311 alpha=90.00 beta=100.09 gamma=90.00
Space group C2/m (No. 12)
One atom of each set of equivalent atoms:
La: 0.0000 0.0000 0.0000 x2
La: 0.0000 0.3333 0.0000 x4
Dy: 0.0000 0.5000 0.5000 x2
Er: 0.0000 0.1667 0.5000 x4
Tm: 0.2476 0.0000 0.7437 x4
Tm: 0.2478 0.3333 0.7437 x8


A relaxed LiGaCo2H crystal. Source: Alexandria via LeMat-Bulk, functional GGA-PBE.

Values from the calculation:
VASP energy = -4.65 eV per atom
spin magnetization = 0.89 μB/f.u.
calculated volume = 9.5 Å³/atom

Unit cell a=3.6277 b=3.6277 c=3.6047 alpha=90.00 beta=90.00 gamma=90.00
Space group P4/mmm (No. 123)
One atom of each set of equivalent atoms:
Li: 0.0000 0.0000 0.0000 x1
Ga: 0.5000 0.5000 0.0000 x1
Co: 0.0000 0.5000 0.5000 x2
H: 0.0000 0.0000 0.5000 x1